DFT (PBE-GGA) results for a geometry-optimized Ta2MoAsS structure.

Output
DOS at the Fermi energy	0.94	states/eV per atom
energy relative to the elements, uncorrected	0.91	eV per atom
total DFT energy (no corrections)	-38.7	eV for the cell shown

abc: 4.5120 4.7765 4.5120
angles: 90.00 90.00 90.00
With the nearest neighbours (Å) after each atom.
Atoms (fractional coordinates):
S1 0.0000 0.0000 0.0000  4 Ta 2.26, 2 As 2.39
Mo1 0.5000 0.5000 0.5000  4 As 3.19, 8 Ta 3.29
Ta1 0.0000 0.0000 0.5000  2 S 2.26
Ta2 0.5000 0.0000 0.0000  2 S 2.26
As1 0.0000 0.5000 0.0000  2 S 2.39